[1]
This record from Alexandria via LeMat-Bulk describes an optimized crystal structure of CeSmEr. The functional is GGA-PBE.

Computed properties:
**Space-group type**: R3m, No. 160
**VASP energy**: -4.62 eV/atom
**E_form**: 449 meV per atom
**Energy above the most stable polymorph in this dataset**: 0.405 eV per atom
**V**: 31.61 Å³ per atom
**D(E_F)**: 8.49 states/eV/cell

Lattice parameters (Å, degrees): 4.678 4.678 4.678 76.26 76.26 76.26
Fractional positions:
Ce 0.000 0.000 0.000
Sm 0.334 0.334 0.334
Er 0.668 0.668 0.668

[2]
This record from Alexandria via LeMat-Bulk describes an optimized crystal structure of Zr2InBi2. The functional is GGA-PBE.

Computed properties:
**Space-group type**: P4/mbm, No. 127
**VASP energy**: -5.57 eV/atom
**E_form**: -50 meV per atom
**Energy above the most stable polymorph in this dataset**: 0.185 eV per atom
**V**: 26.72 Å³ per atom
**D(E_F)**: 9.00 states/eV/cell

Lattice parameters (Å, degrees): 8.398 8.398 3.789 90.00 90.00 90.00
Fractional positions:
Zr 0.138 0.362 0.000
Zr 0.362 0.862 0.000
Zr 0.638 0.138 0.000
Zr 0.862 0.638 0.000
In 0.000 0.000 0.500
In 0.500 0.500 0.500
Bi 0.151 0.651 0.500
Bi 0.349 0.151 0.500
Bi 0.651 0.849 0.500
Bi 0.849 0.349 0.500

[3]
This record from Alexandria via LeMat-Bulk describes an optimized crystal structure of TaAs2PbSe. The functional is GGA-PBE.

Computed properties:
**Space-group type**: P4/mmm, No. 123
**VASP energy**: -4.01 eV/atom
**Energy above the most stable polymorph in this dataset**: 1.562 eV per atom
**ΔE_f (raw)**: 38.34 kcal/mol of atoms
**V**: 28.29 Å³ per atom
**D(E_F)**: 6.34 states/eV/cell

Lattice parameters (Å, degrees): 5.199 5.199 5.232 90.00 90.00 90.00
Fractional positions:
Ta 0.000 0.000 0.000
As 0.000 0.500 0.500
As 0.500 0.000 0.500
Pb 0.500 0.500 0.500
Se 0.500 0.500 0.000

| no. | total magnetization (μB/cell) |
| --- | --- |
| 1 | 0.489 |
| 2 | 0.000 |
| 3 | 0.000 |